(1)
First-principles (GGA-PBE) data for a geometry-optimized La8Te4PbI3 structure, as listed in the Alexandria database.

a = 9.2188 Å, b = 9.2188 Å, c = 22.5622 Å
α = 90.00°, β = 90.00°, γ = 120.00°
Space group R-3m (No. 166, hexagonal axes)
Asymmetric unit:
La 0.0000 0.0000 0.2436
La 0.0093 0.5047 0.7539
Te 0.0000 0.0000 0.5000
Te 0.0000 0.5000 0.5000
Pb 0.0000 0.0000 0.0000
I 0.0000 0.5000 0.0000

Output
The calculation puts the uncorrected formation energy at -1.2634 eV/atom.

---

(2)
First-principles (GGA-PBE) data for a geometry-optimized LaTe2PbI structure, as listed in the Alexandria database.

a = 6.1991 Å, b = 6.1991 Å, c = 6.0479 Å
α = 90.00°, β = 90.00°, γ = 90.00°
Space group P4/mmm (No. 123)
Asymmetric unit:
La 0.0000 0.0000 0.0000
Te 0.0000 0.5000 0.0000
Pb 0.5000 0.5000 0.5000
I 0.0000 0.0000 0.5000

Output
The value obtained for the energy above the lowest structure with this stoichiometry is 0 meV/atom. The calculation puts the uncorrected formation energy at -0.4928 eV/atom.

---

Number 1: calculated total energy -5.035 eV per atom. Number 2: calculated total energy -3.787 eV per atom.